# 1
The following is a DFT calculation (PBE-GGA) of a relaxed structure of SmDyMgCu.

Lattice parameters (Å, degrees): 5.1779 5.1779 5.1779 60.00 60.00 60.00
Sites, in units of the cell vectors:
Sm1 0.0000 0.0000 0.0000
Dy1 0.5000 0.5000 0.5000
Mg1 0.2500 0.2500 0.2500
Cu1 0.7500 0.7500 0.7500

energy of formation from the pure elements: -0.055 eV/atom

***

# 2
The following is a DFT calculation (PBE-GGA) of a relaxed structure of TlAsIrPbAuCl.

Lattice parameters (Å, degrees): 3.8491 3.8491 11.7091 99.47 99.47 59.48
Sites, in units of the cell vectors:
Tl1 0.0000 0.0000 0.0000
As1 0.1385 0.1385 0.4035
Ir1 0.4429 0.4429 0.3213
Pb1 0.5352 0.5352 0.6040
Au1 0.7262 0.7262 0.1765
Cl1 0.2670 0.2670 0.8012

energy above the most stable polymorph in this dataset: 0.00 eV/f.u.

***

# 3
The following is a DFT calculation (PBE-GGA) of a relaxed structure of Ni2AgSn.

Lattice parameters (Å, degrees): 5.6242 5.6242 5.6242 103.54 103.54 122.13
Sites, in units of the cell vectors:
Ni1 0.1164 0.1250 0.4914
Ni2 0.3750 0.8836 0.0086
Ni3 0.6336 0.6250 0.5086
Ni4 0.8750 0.3664 0.9914
Ag1 0.2500 0.7500 0.5000
Ag2 0.5000 0.5000 0.0000
Sn1 0.0000 0.0000 0.0000
Sn2 0.7500 0.2500 0.5000

energy of formation from the pure elements: 0.276 eV/atom

***

# 4
The following is a DFT calculation (PBE-GGA) of a relaxed structure of AcUSbO2.

Lattice parameters (Å, degrees): 7.1624 7.1624 5.7146 90.00 90.00 131.83
Sites, in units of the cell vectors:
Ac1 0.1108 0.8892 0.7500
Ac2 0.8892 0.1108 0.2500
U1 0.4151 0.5849 0.7500
U2 0.5849 0.4151 0.2500
Sb1 0.2492 0.7508 0.2500
Sb2 0.7508 0.2492 0.7500
O1 0.2713 0.2713 0.0000
O2 0.2713 0.2713 0.5000
O3 0.7287 0.7287 0.0000
O4 0.7287 0.7287 0.5000

total energy: -8.277 eV/atom